The following is a DFT calculation (PBE+U) of an optimized crystal structure of Na3LiMo2O8. Values from VASP.

M_tot: 0.11 μB/f.u.
E: -169.841 eV per cell
Space group: Cc, No. 9

Geometry as Quantum ESPRESSO input:
```
&SYSTEM
  ibrav = 0, nat = 28, ntyp = 4
/
ATOMIC_SPECIES
Na 22.99 Na.upf
Li 6.94 Li.upf
Mo 95.94 Mo.upf
O 16.00 O.upf
ATOMIC_POSITIONS crystal
Na 0.017 0.983 0.500
Na 0.241 0.408 0.444
Na 0.408 0.241 0.944
Na 0.454 0.703 0.415
Na 0.703 0.454 0.915
Na 0.983 0.017 0.000
Li 0.604 0.926 0.200
Li 0.926 0.604 0.700
Mo 0.065 0.595 0.115
Mo 0.301 0.803 0.825
Mo 0.595 0.065 0.615
Mo 0.803 0.301 0.325
O 0.032 0.837 0.189
O 0.043 0.236 0.411
O 0.141 0.713 0.838
O 0.236 0.043 0.911
O 0.276 0.729 0.583
O 0.301 0.487 0.167
O 0.487 0.301 0.667
O 0.507 0.940 0.375
O 0.526 0.737 0.970
O 0.541 0.973 0.740
O 0.713 0.141 0.338
O 0.729 0.276 0.083
O 0.737 0.526 0.470
O 0.837 0.032 0.689
O 0.940 0.507 0.875
O 0.973 0.541 0.240
CELL_PARAMETERS angstrom
6.848 -4.774 0.000
6.848 4.774 0.000
-4.201 0.000 7.248
```